{
  "formula": "Cs2BaWF8",
  "functional": "PBE with a Hubbard U",
  "state": "optimized geometry",
  "volume_a3_per_cell": 257.38,
  "total_energy_ev_per_atom": -5.190,
  "cell": [[-1.5202, -3.7724, 1.9810], [5.9642, -2.6294, -2.0452], [3.4417, 2.3971, 7.2473]],
  "species": ["F", "F", "F", "F", "F", "F", "F", "F", "Ba", "Cs", "Cs", "W"],
  "fractional_positions": [[0.5155, 0.2212, 0.4956], [0.0928, 0.8230, 0.8147], [0.3837, 0.1715, 0.9961], [0.4845, 0.7788, 0.5044], [0.9072, 0.1770, 0.1853], [0.6163, 0.8285, 0.0039], [0.0785, 0.8233, 0.1938], [0.9215, 0.1767, 0.8062], [0.0000, 0.0000, 0.5000], [0.5067, 0.4965, 0.7598], [0.4933, 0.5035, 0.2402], [0.0000, 0.0000, 0.0000]]
}